The following is a PBE calculation of an optimized crystal structure of RbLiN3, from Alexandria via LeMat-Bulk.

Geometry as extended XYZ:
```
5
Lattice="4.286 0.000 0.000 0.000 4.286 0.000 0.000 0.000 4.286" Properties=species:S:1:pos:R:3 pbc="T T T"
Li 0.000 0.000 0.000
Rb 2.143 2.143 2.143
N 0.000 2.143 0.000
N 0.000 0.000 2.143
N 2.143 0.000 0.000
```

Values from the calculation:
Electronic total energy (eV per cell): -18.34
Magnetization (μB/f.u.): 7.00
Uncorrected formation energy (eV per formula unit): 9.514
Space group: Pm-3m, No. 221